[1]
A relaxed TbNd5Sm2Y crystal, computed with GGA-PBE.

Calculated values
Electronic total energy = -41.83 eV per formula unit
Symmetry = I4/mcm

Cell: 10.2647 10.2647 10.2647 Å, 129.62 129.62 74.02°
With the nearest neighbours (Å) after each atom.
Sites, in units of the cell vectors:
1 Tb 0.2500 0.2500 0.0000  8 Nd 3.60
2 Tb 0.7500 0.7500 0.0000  8 Nd 3.60
3 Nd 0.0000 0.0000 0.0000  4 Sm 3.49, 8 Nd 3.89
4 Nd 0.0725 0.5725 0.9274  1 Sm 3.10, 1 Y 3.19
5 Nd 0.1451 0.0725 0.5000  1 Sm 3.10, 1 Y 3.19
6 Nd 0.3549 0.8549 0.9274  1 Sm 3.10, 1 Y 3.19
7 Nd 0.4275 0.3549 0.5000  1 Sm 3.10, 1 Y 3.19
8 Nd 0.5000 0.5000 0.0000  4 Sm 3.49, 8 Nd 3.89
9 Nd 0.5725 0.6451 0.5000  1 Sm 3.10, 1 Y 3.19
10 Nd 0.6451 0.1451 0.0726  1 Sm 3.10, 1 Y 3.19
11 Nd 0.8549 0.9275 0.5000  1 Sm 3.10, 1 Y 3.19
12 Nd 0.9275 0.4275 0.0726  1 Sm 3.10, 1 Y 3.19
13 Sm 0.1194 0.3806 0.5000  1 Sm 2.95, 2 Nd 3.10
14 Sm 0.3806 0.8806 0.2611  1 Sm 2.95, 2 Nd 3.10
15 Sm 0.6194 0.1194 0.7389  1 Sm 2.95, 2 Nd 3.10
16 Sm 0.8806 0.6194 0.5000  1 Sm 2.95, 2 Nd 3.10
17 Y 0.2500 0.7500 0.5000  4 Nd 3.19
18 Y 0.7500 0.2500 0.5000  4 Nd 3.19


[2]
A relaxed Tb4Nd2SmY2 crystal, computed with GGA-PBE.

Calculated values
Electronic total energy = -45.74 eV per formula unit
Symmetry = C2/m

Cell: 9.5939 9.5939 9.6435 Å, 115.22 115.22 21.81°
With the nearest neighbours (Å) after each atom.
Sites, in units of the cell vectors:
1 Tb 0.0190 0.0190 0.3350  4 Y 3.54-3.62, 5 Tb 3.55-3.63, 2 Sm 3.59, 1 Nd 3.59
2 Tb 0.3145 0.3145 0.6639  3 Y 3.53-3.64, 6 Tb 3.54-3.63, 2 Nd 3.59, 1 Sm 3.59
3 Tb 0.6855 0.6855 0.3361  3 Y 3.53-3.64, 6 Tb 3.54-3.63, 2 Nd 3.59, 1 Sm 3.59
4 Tb 0.9810 0.9810 0.6650  4 Y 3.54-3.62, 5 Tb 3.55-3.63, 2 Sm 3.59, 1 Nd 3.59
5 Nd 0.1663 0.1663 0.0007  3 Tb 3.59, 3 Y 3.60, 2 Sm 3.62, 4 Nd 3.63-3.65
6 Nd 0.8337 0.8337 0.9993  3 Tb 3.59, 3 Y 3.60, 2 Sm 3.62, 4 Nd 3.63-3.65
7 Sm 0.5000 0.5000 0.0000  6 Tb 3.59, 4 Nd 3.62, 2 Sm 3.63
8 Y 0.3530 0.3530 0.3364  7 Tb 3.53-3.64, 3 Nd 3.60, 2 Y 3.63
9 Y 0.6470 0.6470 0.6636  7 Tb 3.53-3.64, 3 Nd 3.60, 2 Y 3.63


[3]
A relaxed Tb6NdSmY2 crystal, computed with GGA-PBE.

Calculated values
Electronic total energy = -48.94 eV per formula unit
Symmetry = C2/c

Cell: 8.8501 8.8501 9.4914 Å, 93.16 93.16 116.59°
With the nearest neighbours (Å) after each atom.
Sites, in units of the cell vectors:
1 Tb 0.0157 0.5618 0.1816  2 Tb 3.20-3.52, 1 Y 3.46, 1 Nd 3.49, 1 Sm 3.52
2 Tb 0.1133 0.7579 0.5580  7 Tb 3.43-3.76, 1 Y 3.50, 2 Sm 3.70-3.73
3 Tb 0.2421 0.8867 0.9420  7 Tb 3.43-3.76, 1 Y 3.50, 2 Sm 3.70-3.73
4 Tb 0.2935 0.5203 0.3844  4 Tb 3.20-3.55, 3 Y 3.34-3.49, 2 Nd 3.49-3.50
5 Tb 0.4382 0.9843 0.3184  2 Tb 3.20-3.52, 1 Y 3.46, 1 Nd 3.49, 1 Sm 3.52
6 Tb 0.4797 0.7065 0.1156  4 Tb 3.20-3.55, 3 Y 3.34-3.49, 2 Nd 3.49-3.50
7 Tb 0.5203 0.2935 0.8844  4 Tb 3.20-3.55, 3 Y 3.34-3.49, 2 Nd 3.49-3.50
8 Tb 0.5618 0.0157 0.6816  2 Tb 3.20-3.52, 1 Y 3.46, 1 Nd 3.49, 1 Sm 3.52
9 Tb 0.7065 0.4797 0.6156  4 Tb 3.20-3.55, 3 Y 3.34-3.49, 2 Nd 3.49-3.50
10 Tb 0.7579 0.1133 0.0580  7 Tb 3.43-3.76, 1 Y 3.50, 2 Sm 3.70-3.73
11 Tb 0.8867 0.2421 0.4420  7 Tb 3.43-3.76, 1 Y 3.50, 2 Sm 3.70-3.73
12 Tb 0.9843 0.4382 0.8184  2 Tb 3.20-3.52, 1 Y 3.46, 1 Nd 3.49, 1 Sm 3.52
13 Nd 0.4083 0.5917 0.7500  6 Tb 3.49-3.50, 2 Y 3.56
14 Nd 0.5917 0.4083 0.2500  6 Tb 3.49-3.50, 2 Y 3.56
15 Sm 0.0345 0.9655 0.2500  4 Y 3.38-3.48, 6 Tb 3.52-3.73
16 Sm 0.9655 0.0345 0.7500  4 Y 3.38-3.48, 6 Tb 3.52-3.73
17 Y 0.1990 0.2976 0.0501  6 Tb 3.34-3.60, 2 Sm 3.38-3.48, 1 Nd 3.56
18 Y 0.2976 0.1990 0.5501  6 Tb 3.34-3.60, 2 Sm 3.38-3.48, 1 Nd 3.56
19 Y 0.7024 0.8010 0.4499  6 Tb 3.34-3.60, 2 Sm 3.38-3.48, 1 Nd 3.56
20 Y 0.8010 0.7024 0.9499  6 Tb 3.34-3.60, 2 Sm 3.38-3.48, 1 Nd 3.56


[4]
A relaxed TbNd2Sm4Y2 crystal, computed with GGA-PBE.

Calculated values
Electronic total energy = -45.95 eV per formula unit
Symmetry = C2/m

Cell: 9.6488 9.6488 9.7102 Å, 115.21 115.21 21.84°
With the nearest neighbours (Å) after each atom.
Sites, in units of the cell vectors:
1 Tb 0.0000 0.0000 0.0000  6 Sm 3.60, 4 Nd 3.64, 2 Tb 3.66
2 Nd 0.3341 0.3341 0.0003  3 Sm 3.59-3.60, 3 Y 3.61-3.62, 2 Tb 3.64, 4 Nd 3.66-3.67
3 Nd 0.6659 0.6659 0.9997  3 Sm 3.59-3.60, 3 Y 3.61-3.62, 2 Tb 3.64, 4 Nd 3.66-3.67
4 Sm 0.1855 0.1855 0.3341  6 Sm 3.59-3.66, 3 Y 3.59-3.66, 2 Nd 3.60, 1 Tb 3.60
5 Sm 0.4814 0.4814 0.6665  4 Y 3.59-3.64, 1 Nd 3.59, 5 Sm 3.59-3.66, 2 Tb 3.60
6 Sm 0.5186 0.5186 0.3335  4 Y 3.59-3.64, 1 Nd 3.59, 5 Sm 3.59-3.66, 2 Tb 3.60
7 Sm 0.8145 0.8145 0.6659  6 Sm 3.59-3.66, 3 Y 3.59-3.66, 2 Nd 3.60, 1 Tb 3.60
8 Y 0.1472 0.1472 0.6655  7 Sm 3.59-3.66, 3 Nd 3.61-3.62, 2 Y 3.66
9 Y 0.8528 0.8528 0.3345  7 Sm 3.59-3.66, 3 Nd 3.61-3.62, 2 Y 3.66


[5]
A relaxed TbNd2Sm6Y crystal, computed with GGA-PBE.

Calculated values
Electronic total energy = -47.82 eV per formula unit
Symmetry = C2/c

Cell: 8.9329 8.9329 9.8427 Å, 94.49 94.49 118.42°
With the nearest neighbours (Å) after each atom.
Sites, in units of the cell vectors:
1 Tb 0.0196 0.9804 0.7500  4 Nd 3.40-3.45, 4 Sm 3.63-3.69
2 Tb 0.9804 0.0196 0.2500  4 Nd 3.40-3.45, 4 Sm 3.63-3.69
3 Nd 0.1951 0.2972 0.5415  5 Sm 3.30-3.53, 2 Tb 3.40-3.45, 1 Y 3.61
4 Nd 0.2972 0.1951 0.0415  5 Sm 3.30-3.53, 2 Tb 3.40-3.45, 1 Y 3.61
5 Nd 0.7028 0.8049 0.9585  5 Sm 3.30-3.53, 2 Tb 3.40-3.45, 1 Y 3.61
6 Nd 0.8049 0.7028 0.4585  5 Sm 3.30-3.53, 2 Tb 3.40-3.45, 1 Y 3.61
7 Sm 0.0201 0.5746 0.6868  2 Sm 3.30-3.63, 1 Nd 3.45, 1 Y 3.50, 1 Tb 3.63
8 Sm 0.1228 0.7502 0.0556  7 Sm 3.44-3.82, 1 Nd 3.53, 1 Tb 3.69
9 Sm 0.2498 0.8772 0.4444  7 Sm 3.44-3.82, 1 Nd 3.53, 1 Tb 3.69
10 Sm 0.2912 0.5016 0.8793  3 Nd 3.30-3.50, 4 Sm 3.30-3.63, 2 Y 3.48-3.63
11 Sm 0.4254 0.9799 0.8132  2 Sm 3.30-3.63, 1 Nd 3.45, 1 Y 3.50, 1 Tb 3.63
12 Sm 0.4984 0.7088 0.6207  3 Nd 3.30-3.50, 4 Sm 3.30-3.63, 2 Y 3.48-3.63
13 Sm 0.5016 0.2912 0.3793  3 Nd 3.30-3.50, 4 Sm 3.30-3.63, 2 Y 3.48-3.63
14 Sm 0.5746 0.0201 0.1868  2 Sm 3.30-3.63, 1 Nd 3.45, 1 Y 3.50, 1 Tb 3.63
15 Sm 0.7088 0.4984 0.1207  3 Nd 3.30-3.50, 4 Sm 3.30-3.63, 2 Y 3.48-3.63
16 Sm 0.7502 0.1228 0.5556  7 Sm 3.44-3.82, 1 Nd 3.53, 1 Tb 3.69
17 Sm 0.8772 0.2498 0.9444  7 Sm 3.44-3.82, 1 Nd 3.53, 1 Tb 3.69
18 Sm 0.9799 0.4254 0.3132  2 Sm 3.30-3.63, 1 Nd 3.45, 1 Y 3.50, 1 Tb 3.63
19 Y 0.4073 0.5927 0.2500  8 Sm 3.48-3.89, 2 Nd 3.61
20 Y 0.5927 0.4073 0.7500  8 Sm 3.48-3.89, 2 Nd 3.61


[6]
A relaxed TbNdSmZn crystal, computed with GGA-PBE.

Calculated values
Relative energy among the computed polymorphs = 201.8 meV/atom
Symmetry = F-43m

Cell: 7.6836 7.6836 7.6836 Å, 90.00 90.00 90.00°
With the nearest neighbours (Å) after each atom.
Sites, in units of the cell vectors:
1 Tb 0.0000 0.0000 0.0000  4 Nd 3.33, 4 Sm 3.33
2 Tb 0.0000 0.5000 0.5000  4 Nd 3.33, 4 Sm 3.33
3 Tb 0.5000 0.0000 0.5000  4 Nd 3.33, 4 Sm 3.33
4 Tb 0.5000 0.5000 0.0000  4 Nd 3.33, 4 Sm 3.33
5 Nd 0.2500 0.2500 0.7500  4 Tb 3.33, 4 Zn 3.33
6 Nd 0.2500 0.7500 0.2500  4 Tb 3.33, 4 Zn 3.33
7 Nd 0.7500 0.2500 0.2500  4 Tb 3.33, 4 Zn 3.33
8 Nd 0.7500 0.7500 0.7500  4 Tb 3.33, 4 Zn 3.33
9 Sm 0.2500 0.2500 0.2500  4 Tb 3.33, 4 Zn 3.33
10 Sm 0.2500 0.7500 0.7500  4 Tb 3.33, 4 Zn 3.33
11 Sm 0.7500 0.2500 0.7500  4 Tb 3.33, 4 Zn 3.33
12 Sm 0.7500 0.7500 0.2500  4 Tb 3.33, 4 Zn 3.33
13 Zn 0.0000 0.0000 0.5000  4 Nd 3.33, 4 Sm 3.33
14 Zn 0.0000 0.5000 0.0000  4 Nd 3.33, 4 Sm 3.33
15 Zn 0.5000 0.0000 0.0000  4 Nd 3.33, 4 Sm 3.33
16 Zn 0.5000 0.5000 0.5000  4 Nd 3.33, 4 Sm 3.33


N(E_F), record by record: 14.813, 12.263, 15.118, 11.882, 14.351, 5.296 states/eV/f.u.